# 1
A plane-wave DFT calculation with PBE-GGA was carried out for an optimized crystal structure of CoNiOs2.

Geometry as POSCAR:
```
CoNiOs2
1.0
2.682 0.000 0.000
0.000 2.682 0.000
0.000 0.000 7.093
Co Ni Os
1 1 2
Cartesian
0.000 0.000 0.000 Co
1.341 1.341 1.633 Ni
0.000 0.000 3.432 Os
1.341 1.341 5.331 Os
```

The calculation puts the total energy at -8.65 eV/atom. The energy above the most stable polymorph in this dataset is 59 meV per atom. The calculated volume comes out at 12.8 A^3/atom. The symmetry is P4mm. As for the formation energy: 71 kJ/mol of formula units.

# 2
A plane-wave DFT calculation with PBE-GGA was carried out for an optimized crystal structure of CoNiOs2.

Geometry as POSCAR:
```
CoNiOs2
1.0
4.299 0.000 0.000
0.000 4.299 0.000
0.000 0.000 2.733
Co Ni Os
1 1 2
Cartesian
0.000 0.000 0.000 Co
2.150 2.150 0.000 Ni
0.000 2.150 1.366 Os
2.150 0.000 1.366 Os
```

The calculation puts the total energy at -8.48 eV/atom. The energy above the most stable polymorph in this dataset is 235 meV per atom. The calculated volume comes out at 12.6 A^3/atom. The symmetry is P4/mmm. As for the formation energy: 139 kJ/mol of formula units.

# 3
A plane-wave DFT calculation with PBE-GGA was carried out for an optimized crystal structure of CoNiOs2.

Geometry as POSCAR:
```
CoNiOs2
1.0
5.869 0.000 0.000
0.000 5.869 0.000
0.000 0.000 5.869
Co Ni Os
4 4 8
Cartesian
0.000 0.000 0.000 Co
0.000 2.934 2.934 Co
2.934 0.000 2.934 Co
2.934 2.934 0.000 Co
0.000 0.000 2.934 Ni
0.000 2.934 0.000 Ni
2.934 0.000 0.000 Ni
2.934 2.934 2.934 Ni
1.467 1.467 1.467 Os
1.467 1.467 4.402 Os
1.467 4.402 1.467 Os
1.467 4.402 4.402 Os
4.402 1.467 1.467 Os
4.402 1.467 4.402 Os
4.402 4.402 1.467 Os
4.402 4.402 4.402 Os
```

The calculation puts the total energy at -8.47 eV/atom. The energy above the most stable polymorph in this dataset is 243 meV per atom. The calculated volume comes out at 12.6 A^3/atom. The symmetry is Fm-3m. As for the formation energy: 142 kJ/mol of formula units.

- Number 3 is which compound?
  CoNiOs2